K2AlAsRh | meta-GGA SCAN | PBEsol geometry

As for the symmetry: P4/mmm (123). As for the formation energy: 0.445 eV/atom.

Cell: 5.7448 5.7448 4.6225 Å, 90.00 90.00 90.00°
Positions (direct):
1 K 0.0000 0.5000 0.0000
2 K 0.5000 0.0000 0.0000
3 Al 0.0000 0.0000 0.5000
4 As 0.5000 0.5000 0.5000
5 Rh 0.0000 0.0000 0.0000

Be2Nb | meta-GGA SCAN | PBEsol geometry

As for the symmetry: Fd-3m (227). As for the formation energy: -0.201 eV/atom.

Cell: 4.5931 4.5931 4.5931 Å, 60.00 60.00 60.00°
Positions (direct):
1 Be 0.0000 0.0000 0.0000
2 Be 0.0000 0.0000 0.5000
3 Be 0.0000 0.5000 0.0000
4 Be 0.5000 0.0000 0.0000
5 Nb 0.3750 0.3750 0.3750
6 Nb 0.6250 0.6250 0.6250

Number 1 is which compound? K2AlAsRh